Mg4PdPt | Alexandria | PBE | relaxed; total magnetic moment = 0.0 μB per formula unit; DFT formation energy = -3.48 eV per formula unit; space group = C2/m (12); crystal system = monoclinic
1.0
-1.569 -2.897 0.469
2.525 -3.760 -2.974
1.019 -1.338 6.950
Mg Pt Pd
4 1 1
Cartesian
-0.096 -1.481 2.332
2.072 -6.513 2.113
0.868 -5.469 4.538
1.108 -2.526 -0.092
0.988 -3.997 2.223
0.000 0.000 0.000